VASP calculation (PBE) on crystalline KSb2AuI at its relaxed geometry.

The structure belongs to space group P4/mmm (No. 123); the cell edges are 6.1751, 6.1751 and 6.0311 Å and the angles 90.00°, 90.00° and 90.00°. The asymmetric unit holds K at (0.0000, 0.0000, 0.0000), Sb at (0.0000, 0.5000, 0.0000), Au at (0.5000, 0.5000, 0.5000) and I at (0.0000, 0.0000, 0.5000).

The uncorrected energy is -1.683 eV per atom. For the energy relative to the elements, uncorrected, the calculation gives 5.76 eV per formula unit.

---

VASP calculation (PBE) on crystalline KScAuI2 at its relaxed geometry.

The structure belongs to space group P4/mmm (No. 123); the cell edges are 6.0534, 6.0534 and 6.5180 Å and the angles 90.00°, 90.00° and 90.00°. The asymmetric unit holds K at (0.0000, 0.0000, 0.0000), Sc at (0.0000, 0.0000, 0.5000), Au at (0.5000, 0.5000, 0.5000) and I at (0.0000, 0.5000, 0.0000).

The uncorrected energy is -2.144 eV per atom. For the energy relative to the elements, uncorrected, the calculation gives 3.09 eV per formula unit.

---

VASP calculation (PBE) on crystalline KSmAu2I6 at its relaxed geometry.

The structure belongs to space group P-1 (No. 2); the cell edges are 7.9602, 7.9653 and 9.4568 Å and the angles 65.16°, 65.18° and 60.03°. The asymmetric unit holds K at (0.0000, 0.0000, 0.0000), Sm at (0.5000, 0.5000, 0.5000), Au at (0.2369, 0.2362, 0.2893), I at (0.1106, 0.7370, 0.7242), I at (0.2629, 0.5714, 0.2758) and I at (0.4283, 0.1108, 0.7243).

The uncorrected energy is -2.983 eV per atom. For the energy relative to the elements, uncorrected, the calculation gives -8.16 eV per formula unit.

---

VASP calculation (PBE) on crystalline KSnAuI2 at its relaxed geometry.

The structure belongs to space group P4/mmm (No. 123); the cell edges are 6.3175, 6.3175 and 5.2368 Å and the angles 90.00°, 90.00° and 90.00°. The asymmetric unit holds K at (0.0000, 0.0000, 0.0000), Sn at (0.5000, 0.5000, 0.5000), Au at (0.5000, 0.5000, 0.0000) and I at (0.0000, 0.5000, 0.5000).

The uncorrected energy is -2.893 eV per atom. For the energy relative to the elements, uncorrected, the calculation gives -2.99 eV per formula unit.

---

> The highest energy relative to the elements, uncorrected belongs to which entry?

KSb2AuI

---

> uncorrected energy of number 2 (KScAuI2)?

-2.144 eV per atom

---

> Among the records above, which one has the highest energy relative to the elements, uncorrected?

KSb2AuI